DFT (PBE) results for an optimized crystal structure of MnMoP2Cl.

The structure in CIF format:
```
data_MnMoP2Cl
_chemical_formula_sum 'Mn1 Mo1 P2 Cl1'
_symmetry_space_group_name_H-M 'P 4/m m m'
_symmetry_Int_Tables_number 123
_symmetry_space_group_name_Hall '-P 4 2'
_cell_length_a 4.496
_cell_length_b 4.496
_cell_length_c 4.632
_cell_angle_alpha 90.00
_cell_angle_beta 90.00
_cell_angle_gamma 90.00
loop_
_atom_site_label
_atom_site_type_symbol
_atom_site_fract_x
_atom_site_fract_y
_atom_site_fract_z
_atom_site_occupancy
Mn1 Mn 0.000 0.000 0.000 1
Mo1 Mo 0.500 0.500 0.500 1
P1 P 0.000 0.500 0.000 1
Cl1 Cl 0.000 0.000 0.500 1
```

electronic total energy = -28.959 eV for the cell shown
density = 4.4 g/cm3
energy relative to the elements, uncorrected = 741.5 meV per atom
E above lowest polymorph = 259 meV per atom



DFT (PBE) results for an optimized crystal structure of MnMoP2Cl.

The structure in CIF format:
```
data_MnMoP2Cl
_chemical_formula_sum 'Mn1 Mo1 P2 Cl1'
_symmetry_space_group_name_H-M 'P 4/m m m'
_symmetry_Int_Tables_number 123
_symmetry_space_group_name_Hall '-P 4 2'
_cell_length_a 4.586
_cell_length_b 4.586
_cell_length_c 4.056
_cell_angle_alpha 90.00
_cell_angle_beta 90.00
_cell_angle_gamma 90.00
loop_
_atom_site_label
_atom_site_type_symbol
_atom_site_fract_x
_atom_site_fract_y
_atom_site_fract_z
_atom_site_occupancy
Mn1 Mn 0.000 0.000 0.000 1
Mo1 Mo 0.500 0.500 0.000 1
P1 P 0.000 0.500 0.500 1
Cl1 Cl 0.000 0.000 0.500 1
```

electronic total energy = -25.545 eV for the cell shown
density = 4.8 g/cm3
energy relative to the elements, uncorrected = 1424.4 meV per atom
E above lowest polymorph = 942 meV per atom